*w*
Entry from the Alexandria database: crystalline CaCu2O4 at its relaxed geometry (PBE).

Cell lengths 5.177, 5.177, 9.538 Å; angles 90.00, 90.00, 144.66 degrees
Fractional positions:
O1 0.062 0.938 0.750
O2 0.227 0.773 0.395
O3 0.500 0.500 0.000
O4 0.773 0.227 0.895
O5 0.938 0.062 0.250
O6 0.500 0.500 0.500
O7 0.227 0.773 0.105
O8 0.773 0.227 0.605
Cu1 0.863 0.137 0.069
Cu2 0.137 0.863 0.931
Cu3 0.137 0.863 0.569
Cu4 0.863 0.137 0.431
Ca1 0.604 0.396 0.250
Ca2 0.396 0.604 0.750

*x*
Entry from the Alexandria database: crystalline CaCu2O4 at its relaxed geometry (PBE).

Cell lengths 7.359, 7.359, 8.750 Å; angles 62.79, 62.79, 23.34 degrees
Each line ends with the local moment (μB).
Fractional positions:
O1 0.776 0.776 0.356  0.20
O2 0.426 0.426 0.399  0.33
O3 0.574 0.574 0.601  0.33
O4 0.224 0.224 0.644  0.20
O5 0.056 0.056 0.086  0.04
O6 0.859 0.859 0.721  0.09
O7 0.944 0.944 0.914  0.04
O8 0.141 0.141 0.279  0.09
Cu1 0.414 0.414 0.788  0.14
Cu2 0.586 0.586 0.212  0.14
Cu3 0.165 0.165 0.476  0.51
Cu4 0.835 0.835 0.524  0.51
Ca1 0.389 0.389 0.164  0.01
Ca2 0.611 0.611 0.836  0.01

Q: What are the energies relative to the best structure? A: *w* 0; *x* 87, in meV per atom.

*w*
Entry from the Alexandria database: crystalline Ca2Cu2O5 at its relaxed geometry (PBE).

Cell lengths 3.682, 5.487, 10.345 Å; angles 90.00, 90.00, 90.00 degrees
Fractional positions:
Ca1 0.500 0.828 0.360
Ca2 0.500 0.328 0.140
Ca3 0.500 0.672 0.860
Ca4 0.500 0.172 0.640
O1 0.500 0.221 0.910
O2 0.500 0.279 0.410
O3 0.500 0.721 0.590
O4 0.000 0.500 0.000
O5 0.000 0.435 0.715
O6 0.000 0.565 0.285
O7 0.000 0.065 0.215
O8 0.500 0.779 0.090
O9 0.000 0.000 0.500
O10 0.000 0.935 0.785
Cu1 0.000 0.711 0.613
Cu2 0.000 0.789 0.113
Cu3 0.000 0.211 0.887
Cu4 0.000 0.289 0.387

*x*
Entry from the Alexandria database: crystalline Ca2Cu2O5 at its relaxed geometry (PBE).

Cell lengths 3.582, 10.600, 12.723 Å; angles 90.00, 90.00, 90.00 degrees
Fractional positions:
Cu1 0.351 0.738 0.251
Cu2 0.154 0.512 0.154
Cu3 0.149 0.238 0.251
Cu4 0.846 0.488 0.654
Cu5 0.654 0.988 0.654
Cu6 0.649 0.262 0.751
Cu7 0.851 0.762 0.751
Cu8 0.346 0.012 0.154
O1 0.117 0.624 0.703
O2 0.676 0.920 0.790
O3 0.311 0.940 0.022
O4 0.669 0.331 0.615
O5 0.169 0.169 0.115
O6 0.312 0.809 0.382
O7 0.831 0.831 0.615
O8 0.331 0.669 0.115
O9 0.617 0.876 0.203
O10 0.176 0.580 0.290
O11 0.883 0.376 0.203
O12 0.688 0.191 0.882
O13 0.824 0.420 0.790
O14 0.812 0.691 0.882
O15 0.811 0.560 0.522
O16 0.188 0.309 0.382
O17 0.383 0.124 0.703
O18 0.324 0.080 0.290
O19 0.189 0.440 0.022
O20 0.689 0.060 0.522
Ca1 0.187 0.203 0.537
Ca2 0.687 0.297 0.037
Ca3 0.190 0.048 0.870
Ca4 0.810 0.952 0.370
Ca5 0.813 0.797 0.037
Ca6 0.313 0.703 0.537
Ca7 0.690 0.452 0.370
Ca8 0.310 0.548 0.870

*y*
Entry from the Alexandria database: crystalline Ca2Cu2O5 at its relaxed geometry (PBE).

Cell lengths 8.361, 8.362, 8.374 Å; angles 142.49, 141.48, 54.71 degrees
Each line ends with the local moment (μB).
Fractional positions:
Cu1 0.001 0.009 0.011  0.00
Cu2 0.309 0.215 0.024  0.00
Cu3 0.686 0.717 0.903  -0.42
Cu4 0.502 0.510 0.011  0.00
O1 0.268 0.269 0.511  -0.01
O2 0.736 0.244 0.003  0.00
O3 0.258 0.766 0.002  0.00
O4 0.691 0.669 0.090  -0.13
O5 0.921 0.899 0.090  -0.13
O6 0.630 0.370 0.500  -0.09
O7 0.742 0.743 0.511  -0.01
O8 0.082 0.158 0.971  0.02
O9 0.314 0.389 0.971  0.02
O10 0.360 0.864 0.724  -0.13
Ca1 0.375 0.896 0.484  0.00
Ca2 0.911 0.392 0.518  0.00
Ca3 0.089 0.609 0.484  0.00
Ca4 0.626 0.108 0.518  0.00

Q: What are the energies relative to the best structure? A: *w* 116; *x* 0; *y* 135, in meV per atom.

*w*
Entry from the Alexandria database: crystalline CaCu2O2 at its relaxed geometry (PBE).

Cell lengths 6.634, 6.634, 4.663 Å; angles 104.61, 104.61, 123.68 degrees
Fractional positions:
O1 0.080 0.920 0.750
O2 0.671 0.329 0.750
O3 0.329 0.671 0.250
O4 0.920 0.080 0.250
Cu1 0.727 0.565 0.565
Cu2 0.273 0.435 0.435
Cu3 0.435 0.273 0.935
Cu4 0.565 0.727 0.065
Ca1 0.865 0.135 0.750
Ca2 0.135 0.865 0.250

*x*
Entry from the Alexandria database: crystalline CaCu2O2 at its relaxed geometry (PBE).

Cell lengths 6.076, 6.076, 6.076 Å; angles 128.19, 128.19, 76.31 degrees
Fractional positions:
O1 0.511 0.011 0.500
O2 0.239 0.239 0.000
O3 0.989 0.489 0.500
O4 0.761 0.761 0.000
Ca1 0.750 0.250 0.500
Ca2 0.000 0.000 0.000
Cu1 0.875 0.625 0.250
Cu2 0.375 0.625 0.750
Cu3 0.375 0.125 0.750
Cu4 0.375 0.625 0.250

Q: What are the energies relative to the best structure? A: *w* 175; *x* 0, in meV per atom.

*w*
Entry from the Alexandria database: crystalline Ca2CuO3 at its relaxed geometry (PBE).

Cell lengths 9.907, 9.907, 9.907 Å; angles 160.79, 160.27, 27.68 degrees
Each line ends with the local moment (μB).
Fractional positions:
O1 0.192 0.692 0.500  0.00
O2 0.808 0.308 0.500  0.00
O3 0.000 0.000 0.000  0.27
Ca1 0.314 0.814 0.500  0.00
Ca2 0.686 0.186 0.500  0.00
Cu1 0.500 0.000 0.500  0.30

*x*
Entry from the Alexandria database: crystalline Ca2CuO3 at its relaxed geometry (PBE).

Cell lengths 6.593, 6.593, 6.593 Å; angles 151.11, 146.22, 45.03 degrees
Fractional positions:
Ca1 0.851 0.351 0.500
Ca2 0.149 0.649 0.500
O1 0.661 0.161 0.500
O2 0.000 0.000 0.000
O3 0.339 0.839 0.500
Cu1 0.500 0.000 0.500

Q: What are the energies relative to the best structure? A: *w* 293; *x* 0, in meV per atom.